A geometry-optimized AcCe3Se6 structure, computed with PBE-GGA.

## Properties
**Energy above the lowest structure with this stoichiometry**: 1.02 eV per formula unit
**Magnetization**: 3.0 μB per formula unit
**Uncorrected formation energy**: -1.760 eV per atom
**Energy**: -6.041 eV per atom
**Density**: 5.89 g cm⁻³

Unit cell a=7.387 b=7.903 c=12.708 alpha=90.00 beta=121.56 gamma=90.00
Space group P2_1/c (No. 14)
One atom of each set of equivalent atoms:
Ac 0.000 0.000 0.000 [2 per cell]
Ce 0.302 0.092 0.774 [4 per cell]
Ce 0.500 0.000 0.500 [2 per cell]
Se 0.092 0.077 0.261 [4 per cell]
Se 0.291 0.682 0.104 [4 per cell]
Se 0.405 0.174 0.060 [4 per cell]



A geometry-optimized TeOs2Cl structure, computed with PBE-GGA.

## Properties
**Energy above the lowest structure with this stoichiometry**: 4.29 eV per formula unit
**Magnetization**: 0.0 μB per formula unit
**Uncorrected formation energy**: 1.295 eV per atom
**Energy**: -5.567 eV per atom
**Density**: 13.00 g cm⁻³

Unit cell a=2.942 b=5.259 c=8.975 alpha=90.00 beta=90.00 gamma=90.00
Space group Cmmm (No. 65)
One atom of each set of equivalent atoms:
Te 0.000 0.000 0.000 [2 per cell]
Os 0.000 0.500 0.259 [4 per cell]
Cl 0.000 0.000 0.500 [2 per cell]